Entry 1:
A geometry-optimized SiGeRu structure. Source: the Alexandria database, functional PBE.

The space group is C2/c (No. 15) and the conventional cell measures 5.560, 6.375 and 5.542 Å, with angles of 90.00, 111.78 and 90.00 degrees. The inequivalent atoms are Si at (0.000, 0.047, 0.250), Ge at (0.000, 0.439, 0.250) and Ru at (0.250, 0.250, 0.000).

As for the uncorrected formation energy: -181.9 meV per atom.

=====

Entry 2:
A geometry-optimized TlGeAu3 structure. Source: the Alexandria database, functional PBE.

The space group is Pm-3m (No. 221) and the conventional cell measures 4.993, 4.993 and 4.993 Å, with angles of 90.00, 90.00 and 90.00 degrees. The inequivalent atoms are Tl at (0.000, 0.000, 0.000), Ge at (0.500, 0.500, 0.500) and Au at (0.000, 0.500, 0.500).

=====

Entry 3:
A geometry-optimized RbBa2Cd2 structure. Source: the Alexandria database, functional PBE.

The space group is I4/mmm (No. 139) and the conventional cell measures 6.120, 6.120 and 13.123 Å, with angles of 90.00, 90.00 and 90.00 degrees. The inequivalent atoms are Rb at (0.000, 0.000, 0.000), Ba at (0.000, 0.500, 0.250) and Cd at (0.000, 0.000, 0.392).

=====

Entry 4:
A geometry-optimized PrHg2Pb structure. Source: the Alexandria database, functional PBE.

The space group is P4/mmm (No. 123) and the conventional cell measures 4.698, 4.698 and 4.919 Å, with angles of 90.00, 90.00 and 90.00 degrees. The inequivalent atoms are Pr at (0.000, 0.000, 0.000), Hg at (0.000, 0.500, 0.500) and Pb at (0.500, 0.500, 0.000).

=====

Entry 5:
A geometry-optimized LaPm5Pr5 structure. Source: the Alexandria database, functional PBE.

The space group is P-1 (No. 2) and the conventional cell measures 7.119, 7.132 and 8.688 Å, with angles of 75.63, 76.62 and 71.48 degrees. The inequivalent atoms are La at (0.000, 0.000, 0.000), Pm at (0.222, 0.646, 0.293), Pm at (0.310, 0.295, 0.647), Pm at (0.500, 0.000, 0.000), Pr at (0.000, 0.500, 0.000), Pr at (0.147, 0.143, 0.356) and Pr at (0.361, 0.758, 0.724).

=====

Entry 6:
A geometry-optimized PmPrEr14 structure. Source: the Alexandria database, functional PBE.

The space group is Amm2 (No. 38) and the conventional cell measures 11.404, 7.101 and 12.261 Å, with angles of 90.00, 90.00 and 90.00 degrees. The inequivalent atoms are Pm at (0.000, 0.000, 0.000), Pr at (0.000, 0.000, 0.500), Er at (0.000, 0.250, 0.250), Er at (0.252, 0.000, 0.167), Er at (0.253, 0.000, 0.667), Er at (0.254, 0.250, 0.417), Er at (0.500, 0.000, 0.334), Er at (0.500, 0.000, 0.834) and Er at (0.500, 0.250, 0.084).

=====

Entry 7:
A geometry-optimized TlNiP2 structure. Source: the Alexandria database, functional PBE.

The space group is P4/mmm (No. 123) and the conventional cell measures 3.619, 3.619 and 5.300 Å, with angles of 90.00, 90.00 and 90.00 degrees. The inequivalent atoms are Tl at (0.000, 0.000, 0.000), Ni at (0.500, 0.500, 0.000) and P at (0.000, 0.500, 0.500).

=====

Entry 8:
A geometry-optimized K2TiCo2 structure. Source: the Alexandria database, functional PBE.

The space group is I4/mmm (No. 139) and the conventional cell measures 4.960, 4.960 and 8.961 Å, with angles of 90.00, 90.00 and 90.00 degrees. The inequivalent atoms are K at (0.000, 0.000, 0.142), Ti at (0.000, 0.000, 0.500) and Co at (0.000, 0.500, 0.250).

=====

Entry 9:
A geometry-optimized MnCrRu2 structure. Source: the Alexandria database, functional PBE.

The space group is Pmm2 (No. 25) and the conventional cell measures 2.669, 3.688 and 5.269 Å, with angles of 90.00, 90.00 and 90.00 degrees. The inequivalent atoms are Mn at (0.000, 0.000, 0.000), Cr at (0.500, 0.500, 0.759), Ru at (0.000, 0.000, 0.513) and Ru at (0.500, 0.500, 0.241).

=====

Entry 10:
A geometry-optimized Nd3BiRu4O14 structure. Source: the Alexandria database, functional PBE.

The space group is R-3m (No. 166, hexagonal axes) and the conventional cell measures 7.4143, 7.4143 and 17.9444 Å, with angles of 90.00, 90.00 and 120.00 degrees. The inequivalent atoms are Nd at (0.0000, 0.5000, 0.0000), Bi at (0.0000, 0.0000, 0.5000), Ru at (0.0000, 0.0000, 0.0000), Ru at (0.0000, 0.5000, 0.5000), O at (0.0000, 0.0000, 0.3742), O at (0.0590, 0.5295, 0.6102) and O at (0.0605, 0.5303, 0.8584).

As for the uncorrected formation energy: -1829.6 meV per atom.

=====

Entry 11:
A geometry-optimized SmGaHg structure. Source: the Alexandria database, functional PBE.

The space group is C2/m (No. 12) and the conventional cell measures 16.716, 4.263 and 4.138 Å, with angles of 90.00, 94.63 and 90.00 degrees. The inequivalent atoms are Sm at (0.100, 0.000, 0.285), Ga at (0.042, 0.500, 0.764) and Hg at (0.208, 0.500, 0.777).

=====

Entry 12:
A geometry-optimized Ta2TcIr structure. Source: the Alexandria database, functional PBE.

The space group is P4/mmm (No. 123) and the conventional cell measures 4.354, 4.354 and 3.445 Å, with angles of 90.00, 90.00 and 90.00 degrees. The inequivalent atoms are Ta at (0.000, 0.500, 0.000), Tc at (0.000, 0.000, 0.500) and Ir at (0.500, 0.500, 0.500).

=====

Entry 13:
A geometry-optimized TlNi2S2 structure. Source: the Alexandria database, functional PBE.

The space group is C2/c (No. 15) and the conventional cell measures 6.714, 10.223 and 6.291 Å, with angles of 90.00, 122.07 and 90.00 degrees. The inequivalent atoms are Tl at (0.000, 0.125, 0.250), Ni at (0.126, 0.375, 0.000), S at (0.000, 0.199, 0.750) and S at (0.000, 0.449, 0.250).

As for the uncorrected formation energy: -270.3 meV per atom.

=====

Number 1: uncorrected energy -79.4 eV/cell, magnetization 0.00 μB per cell. Number 2: uncorrected energy -16.3 eV/cell, magnetization 0.00 μB per cell. Number 3: uncorrected energy -14.0 eV/cell, magnetization 0.00 μB per cell. Number 4: uncorrected energy -10.7 eV/cell, magnetization 0.00 μB per cell. Number 5: uncorrected energy -51.1 eV/cell, magnetization 0.00 μB per cell. Number 6: uncorrected energy -146.5 eV/cell, magnetization 0.00 μB per cell. Number 7: uncorrected energy -16.5 eV/cell, magnetization 0.00 μB per cell. Number 8: uncorrected energy -29.5 eV/cell, magnetization 0.00 μB per cell. Number 9: uncorrected energy -36.9 eV/cell, magnetization 0.71 μB per cell. Number 10: uncorrected energy -494.9 eV/cell, magnetization 7.59 μB per cell. Number 11: uncorrected energy -38.3 eV/cell, magnetization 0.00 μB per cell. Number 12: uncorrected energy -44.6 eV/cell, magnetization 0.00 μB per cell. Number 13: uncorrected energy -94.1 eV/cell, magnetization 0.00 μB per cell.